Run A
4
Lattice="-0.729 2.601 -4.249 2.033 -1.608 -4.316 -2.946 -1.876 -3.626" Properties=species:S:1:pos:R:3 comment="GGA-PBE Ho2FeHg, optimized geometry" volume_a3_per_cell=90 n_ef_per_ev_cell=7.42 pbc="T T T"
Fe -0.821 -0.442 -6.095
Ho -0.410 -0.221 -3.048
Ho -1.231 -0.662 -9.143
Hg 0.000 0.000 0.000

***

Run B
4
Lattice="3.656 0.000 0.000 1.828 3.166 0.000 1.828 1.055 9.622" Properties=species:S:1:pos:R:3 comment="GGA-PBE Ho2FeHg, optimized geometry" volume_a3_per_cell=111 n_ef_per_ev_cell=2.88 pbc="T T T"
Hg 0.000 0.000 0.000
Ho 1.828 1.055 6.415
Ho 5.484 3.166 3.207
Fe 3.656 2.111 4.811

***

Run C
4
Lattice="-0.055 -2.610 -2.242 3.051 1.000 -1.238 3.466 -4.376 5.008" Properties=species:S:1:pos:R:3 comment="GGA-PBE Ho2FeHg, optimized geometry" volume_a3_per_cell=89 n_ef_per_ev_cell=4.65 pbc="T T T"
Fe 1.498 -0.805 -1.740
Hg 3.231 -2.993 0.764
Ho 2.714 -3.427 3.922
Ho 0.751 -0.949 1.086

***

Result of the stability comparison: run B is the least stable of them.